A relaxed Cu2SbIrRu crystal. Source: Alexandria via LeMat-Bulk, functional PBE.

abc: 4.659 4.659 4.884
angles: 90.00 90.00 90.00
Fractional positions:
1 Cu 0.000 0.500 0.000
2 Cu 0.500 0.000 0.000
3 Sb 0.000 0.000 0.500
4 Ir 0.000 0.000 0.000
5 Ru 0.500 0.500 0.500

Summary:
electronic total energy	-4.872	eV/atom
total magnetic moment	2.25	Bohr magnetons per cell
Fermi-level density of states	0.920	states/eV/atom


A relaxed CuSiIrRu crystal. Source: Alexandria via LeMat-Bulk, functional PBE.

abc: 5.915 5.915 5.915
angles: 90.00 90.00 90.00
Fractional positions:
1 Cu 0.000 0.000 0.000
2 Cu 0.000 0.500 0.500
3 Cu 0.500 0.000 0.500
4 Cu 0.500 0.500 0.000
5 Si 0.000 0.000 0.500
6 Si 0.000 0.500 0.000
7 Si 0.500 0.000 0.000
8 Si 0.500 0.500 0.500
9 Ir 0.250 0.250 0.750
10 Ir 0.250 0.750 0.250
11 Ir 0.750 0.250 0.250
12 Ir 0.750 0.750 0.750
13 Ru 0.250 0.250 0.250
14 Ru 0.250 0.750 0.750
15 Ru 0.750 0.250 0.750
16 Ru 0.750 0.750 0.250

Summary:
electronic total energy	-7.199	eV/atom
total magnetic moment	0.00	Bohr magnetons per cell
Fermi-level density of states	1.044	states/eV/atom


Q: Look up the Fermi-level density of states of the second one.
A: 1.044 states/eV/atom


Q: electronic total energy of number 2 (CuSiIrRu)?
A: -7.199 eV/atom